The following is a PBE-GGA calculation of a relaxed Al2AgW crystal, from Alexandria.

Lattice parameters (Å, degrees): 2.8158 2.8158 8.1220 90.00 90.00 90.00
With the nearest neighbours (Å) after each atom.
Element x y z (fractional)
Al (0.0000, 0.0000, 0.2391)  4 W 2.78, 4 Al 2.82, 4 Ag 2.91
Al (0.0000, 0.0000, 0.7609)  4 W 2.78, 4 Al 2.82, 4 Ag 2.91
Ag (0.5000, 0.5000, 0.5000)  4 Ag 2.82, 8 Al 2.91
W (0.5000, 0.5000, 0.0000)  8 Al 2.78, 4 W 2.82

Properties
DFT formation energy = 52 meV per atom
crystal system = tetragonal
mass density = 8.9 g/cm³
DOS at the Fermi energy = 2.29 states/eV/f.u.
excess energy over the best structure of this formula in the dataset = 41 meV per atom